[1]
Computed, not measured: LiHfRhO4 after structural relaxation at the GGA-PBE level of DFT.

extended XYZ file:
```
14
Lattice="-3.116 3.179 4.199 3.116 -3.179 4.199 3.116 3.179 -4.199" Properties=species:S:1:pos:R:3 pbc="T T T"
Li 0.000 1.589 0.971
Li 3.116 1.589 3.228
Hf 3.116 0.000 0.000
Hf 0.000 0.000 4.199
Rh 1.558 1.589 -2.099
Rh 1.558 -1.589 2.099
O 3.116 -0.188 2.095
O 3.116 2.990 -2.095
O 1.740 1.589 0.006
O 4.492 1.589 0.006
O -1.376 1.589 4.193
O 1.376 1.589 4.193
O 0.000 0.188 6.294
O 0.000 3.367 2.104
```

Output
Symmetry: No. 74
Raw formation energy: -2.18 eV per atom


[2]
Computed, not measured: NaAcLa2Hg4 after structural relaxation at the GGA-PBE level of DFT.

extended XYZ file:
```
8
Lattice="2.737 1.580 9.163 -2.737 1.580 9.163 0.000 -3.160 9.163" Properties=species:S:1:pos:R:3 pbc="T T T"
Na 0.000 0.000 0.000
Ac 0.000 0.000 13.745
La 0.000 0.000 7.040
La 0.000 0.000 20.449
Hg 0.000 0.000 3.328
Hg 0.000 0.000 10.282
Hg 0.000 0.000 17.207
Hg 0.000 0.000 24.161
```

Output
Symmetry: No. 166
E_form: -437.1 meV/atom
N(E_F): 6.72 states/eV/f.u.


[3]
Computed, not measured: PrCoAg after structural relaxation at the GGA-PBE level of DFT.

extended XYZ file:
```
6
Lattice="6.507 -2.006 0.000 6.507 2.006 0.000 -1.127 0.000 4.921" Properties=species:S:1:pos:R:3 pbc="T T T"
Pr 1.263 0.000 1.607
Pr 10.624 0.000 3.314
Co 1.976 0.000 4.439
Co 9.911 0.000 0.482
Ag 5.271 0.000 1.059
Ag 6.615 0.000 3.862
```

Output
Symmetry: No. 12
E_form: -78.2 meV/atom
N(E_F): 2.61 states/eV/f.u.


[4]
Computed, not measured: LaAsOs2Pd after structural relaxation at the GGA-PBE level of DFT.

extended XYZ file:
```
5
Lattice="4.538 0.000 0.000 0.000 4.538 0.000 0.000 0.000 5.555" Properties=species:S:1:pos:R:3 pbc="T T T"
La 0.000 0.000 0.000
As 0.000 0.000 2.777
Os 0.000 2.269 2.777
Os 2.269 0.000 2.777
Pd 2.269 2.269 0.000
```

Output
Symmetry: No. 123
E_form: 815.5 meV/atom
N(E_F): 2.82 states/eV/f.u.